Record 1
# PBE Pa5In, relaxed
data_Pa5In
_chemical_formula_sum 'Pa10 In2'
_cell_length_a 10.3245
_cell_length_b 4.5458
_cell_length_c 6.6559
_cell_angle_alpha 90.00
_cell_angle_beta 107.87
_cell_angle_gamma 90.00
_symmetry_space_group_name_H-M 'C 1 2/m 1'
_symmetry_Int_Tables_number 12
loop_
_symmetry_equiv_pos_as_xyz
'x,y,z'
'-x,-y,-z'
'-x,y,-z'
'x,-y,z'
'x+1/2,y+1/2,z'
'-x+1/2,-y+1/2,-z'
'-x+1/2,y+1/2,-z'
'x+1/2,-y+1/2,z'
loop_
_atom_site_label
_atom_site_type_symbol
_atom_site_fract_x
_atom_site_fract_y
_atom_site_fract_z
Pa1 Pa 0.0000 0.0000 0.0000
Pa2 Pa 0.1649 0.5000 0.3379
Pa3 Pa 0.1664 0.5000 0.8274
In1 In 0.0000 0.0000 0.5000
# Energy relative to the lowest polymorph listed for this composition = 0.000 eV/atom
# VASP energy = -100.4 eV per cell
# ΔH_f (0 K) = 0 meV/atom

***

Record 2
# PBE PmNd6In6, relaxed
data_PmNd6In6
_chemical_formula_sum 'Pm1 Nd6 In6'
_cell_length_a 6.3905
_cell_length_b 6.3905
_cell_length_c 11.1501
_cell_angle_alpha 90.00
_cell_angle_beta 90.00
_cell_angle_gamma 120.00
_symmetry_space_group_name_H-M 'P 6/m m m'
_symmetry_Int_Tables_number 191
_symmetry_space_group_name_Hall '-P 6 2'
loop_
_atom_site_label
_atom_site_type_symbol
_atom_site_fract_x
_atom_site_fract_y
_atom_site_fract_z
Pm1 Pm 0.0000 0.0000 0.0000
Nd1 Nd 0.0000 0.0000 0.3344
Nd2 Nd 0.3333 0.6667 0.0000
Nd3 Nd 0.3333 0.6667 0.5000
In1 In 0.0000 0.5000 0.2459
# VASP energy = -54.2 eV per cell
# ΔH_f (0 K) = -343 meV/atom

***

Record 3
# PBE ScRuN2, relaxed
data_ScRuN2
_chemical_formula_sum 'Sc3 Ru3 N6'
_cell_length_a 3.2492
_cell_length_b 3.2492
_cell_length_c 17.6985
_cell_angle_alpha 90.00
_cell_angle_beta 90.00
_cell_angle_gamma 120.00
_symmetry_space_group_name_H-M 'R -3 m'
_symmetry_Int_Tables_number 166
_symmetry_space_group_name_Hall '-R 3 2"'
loop_
_atom_site_label
_atom_site_type_symbol
_atom_site_fract_x
_atom_site_fract_y
_atom_site_fract_z
Sc1 Sc 0.0000 0.0000 0.0000
Ru1 Ru 0.0000 0.0000 0.5000
N1 N 0.0000 0.0000 0.3967
# Energy relative to the lowest polymorph listed for this composition = 0.279 eV/atom
# VASP energy = -100.2 eV per cell
# E_form (uncorrected) = -0.28 eV per atom

***

Record 4
# PBE Ac2NiAsN, relaxed
data_Ac2NiAsN
_chemical_formula_sum 'Ac4 Ni2 As2 N2'
_cell_length_a 6.6857
_cell_length_b 4.1228
_cell_length_c 8.5743
_cell_angle_alpha 90.00
_cell_angle_beta 107.91
_cell_angle_gamma 90.00
_symmetry_space_group_name_H-M 'P 1 21/m 1'
_symmetry_Int_Tables_number 11
loop_
_symmetry_equiv_pos_as_xyz
'x,y,z'
'-x,-y,-z'
'-x,y+1/2,-z'
'x,-y+1/2,z'
loop_
_atom_site_label
_atom_site_type_symbol
_atom_site_fract_x
_atom_site_fract_y
_atom_site_fract_z
Ac1 Ac 0.2152 0.2500 0.3875
Ac2 Ac 0.2265 0.2500 0.9663
Ni1 Ni 0.4622 0.7500 0.2456
As1 As 0.3203 0.7500 0.6971
N1 N 0.1602 0.7500 0.1674
# VASP energy = -64.2 eV per cell
# E_form (uncorrected) = -1.02 eV per atom

***

Record 5
# PBE BaTa2Pt, relaxed
data_BaTa2Pt
_chemical_formula_sum 'Ba1 Ta2 Pt1'
_cell_length_a 3.0761
_cell_length_b 5.2747
_cell_length_c 5.3025
_cell_angle_alpha 90.00
_cell_angle_beta 90.00
_cell_angle_gamma 90.00
_symmetry_space_group_name_H-M 'P m m m'
_symmetry_Int_Tables_number 47
loop_
_symmetry_equiv_pos_as_xyz
'x,y,z'
'-x,-y,-z'
'-x,-y,z'
'x,y,-z'
'x,-y,-z'
'-x,y,z'
'-x,y,-z'
'x,-y,z'
loop_
_atom_site_label
_atom_site_type_symbol
_atom_site_fract_x
_atom_site_fract_y
_atom_site_fract_z
Ba1 Ba 0.0000 0.0000 0.0000
Ta1 Ta 0.0000 0.5000 0.5000
Ta2 Ta 0.5000 0.0000 0.5000
Pt1 Pt 0.5000 0.5000 0.0000
# Energy relative to the lowest polymorph listed for this composition = 0.547 eV/atom
# VASP energy = -29.0 eV per cell
# ΔH_f (0 K) = 679 meV/atom

***

Record 6
# PBE PrTlHgPd, relaxed
data_PrTlHgPd
_chemical_formula_sum 'Pr4 Tl4 Hg4 Pd4'
_cell_length_a 7.2676
_cell_length_b 7.2676
_cell_length_c 7.2676
_cell_angle_alpha 90.00
_cell_angle_beta 90.00
_cell_angle_gamma 90.00
_symmetry_space_group_name_H-M 'F -4 3 m'
_symmetry_Int_Tables_number 216
_symmetry_space_group_name_Hall 'F -4 2 3'
loop_
_atom_site_label
_atom_site_type_symbol
_atom_site_fract_x
_atom_site_fract_y
_atom_site_fract_z
Pr1 Pr 0.0000 0.0000 0.0000
Tl1 Tl 0.0000 0.0000 0.5000
Hg1 Hg 0.2500 0.2500 0.7500
Pd1 Pd 0.2500 0.2500 0.2500
# VASP energy = -57.4 eV per cell
# ΔH_f (0 K) = -427 meV/atom